(1)
An optimized crystal structure of Ta2CoPtCl, computed with GGA-PBE.

Cell: 4.712 4.024 4.712 Å, 90.00 90.00 90.00°
Atoms (fractional coordinates):
Ta1 0.000 0.000 0.500
Ta2 0.500 0.000 0.000
Co1 0.000 0.000 0.000
Pt1 0.500 0.500 0.500
Cl1 0.000 0.500 0.000

Computed properties:
final energy: -34.47 eV per cell
space group: P4/mmm (123)
crystal system: tetragonal
ΔE_f (raw): 0.8466 eV/atom
total magnetization: 0.0 μB per formula unit

***

(2)
An optimized crystal structure of CoTe2PtCl, computed with GGA-PBE.

Cell: 5.445 4.027 5.445 Å, 90.00 90.00 90.00°
Site moments in Bohr magnetons follow the coordinates.
Atoms (fractional coordinates):
Cl1 0.000 0.000 0.000  0.06
Te1 0.500 0.000 0.000  0.14
Te2 0.000 0.000 0.500  0.06
Co1 0.000 0.500 0.000  1.59
Pt1 0.500 0.500 0.500  0.00

Computed properties:
final energy: -15.84 eV per cell
space group: P4/mmm (123)
crystal system: tetragonal
ΔE_f (raw): 1.0879 eV/atom
total magnetization: 2.0 μB per formula unit

***

(3)
An optimized crystal structure of PuCoCl2, computed with GGA-PBE.

Cell: 3.510 3.510 8.633 Å, 78.27 78.27 60.00°
Site moments in Bohr magnetons follow the coordinates.
Atoms (fractional coordinates):
Co1 0.500 0.500 0.500  2.00
Cl1 0.112 0.112 0.664  0.06
Cl2 0.888 0.888 0.336  0.06
Pu1 0.000 0.000 0.000  5.83

Computed properties:
final energy: -26.55 eV per cell
space group: R-3m (166)
crystal system: trigonal
ΔE_f (raw): -0.3539 eV/atom
total magnetization: 8.6 μB per formula unit

***

(4)
An optimized crystal structure of PuCoCl, computed with GGA-PBE.

Cell: 3.891 3.891 11.030 Å, 79.84 79.84 60.00°
Site moments in Bohr magnetons follow the coordinates.
Atoms (fractional coordinates):
Co1 0.166 0.166 0.503  -0.77
Co2 0.834 0.834 0.497  -0.77
Cl1 0.720 0.720 0.840  -0.04
Cl2 0.280 0.280 0.160  -0.04
Pu1 0.559 0.559 0.322  5.31
Pu2 0.441 0.441 0.678  5.31

Computed properties:
final energy: -51.80 eV per cell
space group: R-3m (166)
crystal system: trigonal
ΔE_f (raw): -0.8723 eV/atom
total magnetization: 4.9 μB per formula unit

***

(5)
An optimized crystal structure of PuCo2Cl8, computed with GGA-PBE.

Cell: 8.446 10.067 10.370 Å, 73.04 65.97 65.20°
Site moments in Bohr magnetons follow the coordinates.
Atoms (fractional coordinates):
Cl1 0.124 0.707 0.979  0.14
Cl2 0.308 0.543 0.283  0.13
Cl3 0.866 0.043 0.783  0.13
Cl4 0.810 0.793 0.521  0.14
Cl5 0.617 0.243 0.448  0.25
Cl6 0.708 0.954 0.173  0.14
Cl7 0.308 0.257 0.052  0.25
Cl8 0.190 0.207 0.479  0.14
Cl9 0.165 0.454 0.673  0.14
Cl10 0.692 0.743 0.948  0.25
Cl11 0.876 0.293 0.021  0.14
Cl12 0.692 0.457 0.717  0.13
Cl13 0.134 0.957 0.217  0.13
Cl14 0.292 0.046 0.827  0.14
Cl15 0.835 0.546 0.327  0.14
Cl16 0.383 0.757 0.552  0.25
Co1 0.159 0.142 0.033  2.48
Co2 0.841 0.858 0.967  2.48
Co3 0.334 0.358 0.467  2.48
Co4 0.666 0.642 0.533  2.48
Pu1 0.007 0.250 0.750  -4.75
Pu2 0.993 0.750 0.250  -4.75

Computed properties:
final energy: -109.59 eV per cell
space group: C2/c (15)
crystal system: monoclinic
ΔE_f (raw): -1.0433 eV/atom
total magnetization: 2.0 μB per formula unit

***

(6)
An optimized crystal structure of RbPuCoCl6, computed with GGA-PBE.

Cell: 6.624 6.627 7.545 Å, 90.06 90.01 59.98°
Site moments in Bohr magnetons follow the coordinates.
Atoms (fractional coordinates):
Cl1 0.652 0.373 0.693  0.08
Cl2 0.974 0.653 0.693  0.08
Cl3 0.373 0.652 0.307  0.08
Cl4 0.373 0.975 0.693  0.08
Cl5 0.652 0.974 0.307  0.08
Cl6 0.975 0.373 0.307  0.08
Pu1 0.333 0.333 0.500  -4.87
Co1 0.667 0.667 0.500  2.37
Rb1 0.000 0.000 0.000  0.00

Computed properties:
final energy: -46.87 eV per cell
space group: C2 (5)
crystal system: monoclinic
ΔE_f (raw): -1.4869 eV/atom
total magnetization: 2.0 μB per formula unit

***

(7)
An optimized crystal structure of RbPuCo2Cl8, computed with GGA-PBE.

Cell: 6.415 6.415 10.912 Å, 72.90 72.90 60.00°
Site moments in Bohr magnetons follow the coordinates.
Atoms (fractional coordinates):
Cl1 0.320 0.320 0.040  0.14
Cl2 0.114 0.765 0.673  0.10
Cl3 0.886 0.552 0.327  0.10
Cl4 0.680 0.680 0.960  0.14
Cl5 0.765 0.448 0.673  0.10
Cl6 0.552 0.235 0.327  0.10
Cl7 0.448 0.114 0.673  0.10
Cl8 0.235 0.886 0.327  0.10
Pu1 0.500 0.500 0.500  -5.04
Co1 0.249 0.249 0.254  2.41
Co2 0.751 0.751 0.746  2.41
Rb1 0.000 0.000 0.000  0.00

Computed properties:
final energy: -58.85 eV per cell
space group: R32 (155)
crystal system: trigonal
ΔE_f (raw): -1.2142 eV/atom
total magnetization: 1.0 μB per formula unit

***

(8)
An optimized crystal structure of Rb2Co3Cl9, computed with GGA-PBE.

Cell: 10.178 10.169 10.169 Å, 112.71 105.41 105.41°
Site moments in Bohr magnetons follow the coordinates.
Atoms (fractional coordinates):
Cl1 0.789 0.122 0.926  0.20
Cl2 0.174 0.702 0.702  0.18
Cl3 0.211 0.878 0.074  0.20
Cl4 0.156 0.899 0.481  0.14
Cl5 0.156 0.481 0.899  0.14
Cl6 0.775 0.731 0.731  0.18
Cl7 0.526 0.358 0.161  0.18
Cl8 0.211 0.074 0.878  0.20
Cl9 0.826 0.298 0.298  0.18
Cl10 0.526 0.161 0.358  0.18
Cl11 0.500 0.798 0.202  0.15
Cl12 0.474 0.839 0.642  0.18
Cl13 0.474 0.642 0.839  0.18
Cl14 0.225 0.269 0.269  0.18
Cl15 0.500 0.202 0.798  0.15
Cl16 0.844 0.519 0.101  0.14
Cl17 0.844 0.101 0.519  0.14
Cl18 0.789 0.926 0.122  0.20
Co1 0.662 0.857 0.857  2.59
Co2 0.307 0.942 0.716  2.59
Co3 0.693 0.284 0.058  2.59
Co4 0.693 0.058 0.284  2.59
Co5 0.338 0.143 0.143  2.59
Co6 0.307 0.716 0.942  2.59
Rb1 0.211 0.595 0.265  0.00
Rb2 0.789 0.405 0.735  0.00
Rb3 0.789 0.735 0.405  0.00
Rb4 0.211 0.265 0.595  0.00

Computed properties:
final energy: -104.67 eV per cell
space group: C2/m (12)
crystal system: monoclinic
ΔE_f (raw): -0.8901 eV/atom
total magnetization: 10.0 μB per formula unit

***

(9)
An optimized crystal structure of Rb5CoCl8, computed with GGA-PBE.

Cell: 9.042 9.042 9.042 Å, 115.61 97.80 115.61°
Site moments in Bohr magnetons follow the coordinates.
Atoms (fractional coordinates):
Cl1 0.151 0.299 0.839  0.21
Cl2 0.725 0.399 0.896  0.02
Cl3 0.161 0.312 0.460  0.21
Cl4 0.498 0.601 0.326  0.02
Cl5 0.104 0.829 0.502  0.02
Cl6 0.148 0.688 0.849  0.21
Cl7 0.540 0.701 0.852  0.21
Cl8 0.674 0.171 0.275  0.02
Rb1 0.818 0.830 0.236  0.00
Rb2 0.012 0.418 0.182  0.00
Rb3 0.500 0.000 0.500  0.00
Rb4 0.406 0.170 0.988  0.00
Rb5 0.764 0.582 0.594  0.00
Co1 0.250 0.500 0.750  2.66

Computed properties:
final energy: -47.51 eV per cell
space group: I-4 (82)
crystal system: tetragonal
ΔE_f (raw): -1.4849 eV/atom
total magnetization: 4.0 μB per formula unit

***

(10)
An optimized crystal structure of Rb4CoCl6, computed with GGA-PBE.

Cell: 8.928 8.928 9.251 Å, 90.00 90.00 90.00°
Site moments in Bohr magnetons follow the coordinates.
Atoms (fractional coordinates):
Rb1 0.327 0.173 0.250  0.00
Rb2 0.173 0.673 0.750  0.00
Rb3 0.827 0.327 0.250  0.00
Rb4 0.673 0.827 0.250  0.00
Rb5 0.673 0.827 0.750  0.00
Rb6 0.173 0.673 0.250  0.00
Rb7 0.827 0.327 0.750  0.00
Rb8 0.327 0.173 0.750  0.00
Cl1 0.914 0.723 0.500  0.05
Cl2 0.277 0.914 0.500  0.05
Cl3 0.223 0.414 0.000  0.05
Cl4 0.500 0.500 0.259  0.07
Cl5 0.723 0.086 0.500  0.05
Cl6 0.000 0.000 0.759  0.07
Cl7 0.777 0.586 0.000  0.05
Cl8 0.586 0.223 0.000  0.05
Cl9 0.414 0.777 0.000  0.05
Cl10 0.000 0.000 0.241  0.07
Cl11 0.086 0.277 0.500  0.05
Cl12 0.500 0.500 0.741  0.07
Co1 0.500 0.500 0.000  2.51
Co2 0.000 0.000 0.500  2.51

Computed properties:
final energy: -77.76 eV per cell
space group: P4/mnc (128)
crystal system: tetragonal
ΔE_f (raw): -1.5293 eV/atom
total magnetization: 3.0 μB per formula unit

***

(11)
An optimized crystal structure of Rb3CoCl, computed with GGA-PBE.

Cell: 6.341 6.341 6.341 Å, 90.00 90.00 90.00°
Site moments in Bohr magnetons follow the coordinates.
Atoms (fractional coordinates):
Cl1 0.000 0.000 0.000  -0.01
Rb1 0.000 0.500 0.000  -0.01
Rb2 0.000 0.000 0.500  -0.01
Rb3 0.500 0.000 0.000  -0.01
Co1 0.500 0.500 0.500  2.00

Computed properties:
final energy: -12.01 eV per cell
space group: Pm-3m (221)
crystal system: cubic
E above lowest polymorph: 0 meV/atom
ΔE_f (raw): -0.0317 eV/atom
total magnetization: 1.6 μB per formula unit

***

(12)
An optimized crystal structure of RbCoCl4, computed with GGA-PBE.

Cell: 6.124 6.164 8.878 Å, 111.39 110.21 90.00°
Atoms (fractional coordinates):
Co1 0.500 0.000 0.500
Co2 0.000 0.500 0.500
Cl1 0.851 0.849 0.562
Cl2 0.149 0.151 0.438
Cl3 0.789 0.368 0.211
Cl4 0.579 0.132 0.789
Cl5 0.289 0.651 0.438
Cl6 0.211 0.632 0.789
Cl7 0.711 0.349 0.562
Cl8 0.421 0.868 0.211
Rb1 0.215 0.250 0.000
Rb2 0.785 0.750 0.000

Computed properties:
final energy: -42.25 eV per cell
space group: C2/c (15)
crystal system: monoclinic
E above lowest polymorph: 87 meV/atom
ΔE_f (raw): -0.9443 eV/atom
total magnetization: 0.0 μB per formula unit

***

(13)
An optimized crystal structure of Rb3Co2Cl8, computed with GGA-PBE.

Cell: 7.216 7.216 10.052 Å, 68.96 68.96 60.00°
Site moments in Bohr magnetons follow the coordinates.
Atoms (fractional coordinates):
Cl1 0.672 0.672 0.984  0.16
Cl2 0.731 0.731 0.307  0.15
Cl3 0.328 0.328 0.016  0.16
Cl4 0.731 0.230 0.307  0.15
Cl5 0.770 0.269 0.693  0.15
Cl6 0.269 0.269 0.693  0.15
Cl7 0.230 0.731 0.307  0.15
Cl8 0.269 0.770 0.693  0.15
Rb1 0.792 0.792 0.624  0.00
Rb2 0.000 0.000 0.000  0.00
Rb3 0.208 0.208 0.376  0.00
Co1 0.408 0.408 0.775  2.58
Co2 0.592 0.592 0.225  2.58

Computed properties:
final energy: -48.22 eV per cell
space group: R-3m (166)
crystal system: trigonal
ΔE_f (raw): -1.2565 eV/atom
total magnetization: 7.0 μB per formula unit

***

(14)
An optimized crystal structure of Rb2CoCl7, computed with GGA-PBE.

Cell: 7.818 7.818 7.158 Å, 56.90 56.90 90.00°
Site moments in Bohr magnetons follow the coordinates.
Atoms (fractional coordinates):
Rb1 0.750 0.250 0.500  0.00
Rb2 0.250 0.750 0.500  0.00
Cl1 0.204 0.796 0.000  0.00
Cl2 0.750 0.750 0.499  0.03
Cl3 0.796 0.796 0.000  -0.01
Cl4 0.250 0.250 0.501  0.03
Cl5 0.500 0.500 0.000  0.02
Cl6 0.796 0.204 0.000  0.00
Cl7 0.204 0.204 0.000  -0.01
Co1 0.000 0.000 0.000  0.87

Computed properties:
final energy: -31.31 eV per cell
space group: I4/mmm (139)
crystal system: tetragonal
ΔE_f (raw): -0.9340 eV/atom
total magnetization: 1.0 μB per formula unit

***

(15)
An optimized crystal structure of Rb2CoCl5, computed with GGA-PBE.

Cell: 6.989 6.989 6.989 Å, 95.82 116.70 116.70°
Site moments in Bohr magnetons follow the coordinates.
Atoms (fractional coordinates):
Co1 0.000 0.025 0.025  1.59
Cl1 0.000 0.267 0.267  0.20
Cl2 0.000 0.773 0.200  0.01
Cl3 0.427 0.200 0.200  0.01
Cl4 0.573 0.773 0.773  0.01
Cl5 0.000 0.200 0.773  0.01
Rb1 0.500 0.241 0.741  0.00
Rb2 0.500 0.741 0.241  0.00

Computed properties:
final energy: -28.32 eV per cell
space group: I4mm (107)
crystal system: tetragonal
ΔE_f (raw): -1.2554 eV/atom
total magnetization: 2.0 μB per formula unit

***

(16)
An optimized crystal structure of RbCo2Cl6, computed with GGA-PBE.

Cell: 6.208 10.010 10.010 Å, 93.22 86.73 86.73°
Site moments in Bohr magnetons follow the coordinates.
Atoms (fractional coordinates):
Cl1 0.397 0.443 0.815  0.22
Cl2 0.897 0.815 0.443  0.22
Cl3 0.103 0.185 0.557  0.22
Cl4 0.908 0.610 0.731  0.23
Cl5 0.603 0.557 0.185  0.22
Cl6 0.092 0.390 0.269  0.23
Cl7 0.256 0.039 0.214  0.17
Cl8 0.756 0.214 0.039  0.17
Cl9 0.408 0.731 0.610  0.23
Cl10 0.592 0.269 0.390  0.23
Cl11 0.744 0.961 0.786  0.17
Cl12 0.244 0.786 0.961  0.17
Co1 0.749 0.361 0.211  2.58
Co2 0.251 0.639 0.789  2.58
Co3 0.751 0.789 0.639  2.58
Co4 0.249 0.211 0.361  2.58
Rb1 0.250 0.131 0.869  0.00
Rb2 0.750 0.869 0.131  0.00

Computed properties:
final energy: -68.34 eV per cell
space group: C2/c (15)
crystal system: monoclinic
ΔE_f (raw): -0.8789 eV/atom
total magnetization: 7.0 μB per formula unit

***

(17)
An optimized crystal structure of Rb6Co3Cl14, computed with GGA-PBE.

Cell: 6.609 11.639 11.639 Å, 120.00 90.00 90.00°
Site moments in Bohr magnetons follow the coordinates.
Atoms (fractional coordinates):
Cl1 0.301 0.605 0.455  0.00
Cl2 0.949 0.797 0.861  0.13
Cl3 0.694 0.730 0.212  0.00
Cl4 0.694 0.483 0.270  0.00
Cl5 0.442 0.537 0.800  0.14
Cl6 0.442 0.200 0.737  0.14
Cl7 0.494 0.000 0.000  0.13
Cl8 0.694 0.788 0.517  0.00
Cl9 0.986 0.333 0.667  0.13
Cl10 0.949 0.064 0.203  0.13
Cl11 0.949 0.139 0.936  0.13
Cl12 0.301 0.851 0.395  0.00
Cl13 0.442 0.263 0.463  0.14
Cl14 0.301 0.545 0.149  0.00
Rb1 0.267 0.910 0.702  0.00
Rb2 0.751 0.032 0.459  0.00
Rb3 0.751 0.541 0.573  0.00
Rb4 0.751 0.427 0.968  0.00
Rb5 0.267 0.792 0.090  0.00
Rb6 0.267 0.298 0.208  0.00
Co1 0.496 0.667 0.333  -0.27
Co2 0.323 0.333 0.667  2.57
Co3 0.831 0.000 0.000  2.56

Computed properties:
final energy: -83.40 eV per cell
space group: P3 (143)
crystal system: trigonal
ΔE_f (raw): -1.3229 eV/atom
total magnetization: 6.5 μB per formula unit

***

(18)
An optimized crystal structure of RbCo2Cl8, computed with GGA-PBE.

Cell: 9.402 9.333 12.082 Å, 83.03 67.10 59.76°
Site moments in Bohr magnetons follow the coordinates.
Atoms (fractional coordinates):
Cl1 0.789 0.664 0.885  0.32
Cl2 0.892 0.280 0.068  0.31
Cl3 0.347 0.534 0.315  0.30
Cl4 0.659 0.948 0.118  0.31
Cl5 0.196 0.966 0.185  0.30
Cl6 0.275 0.448 0.618  0.31
Cl7 0.760 0.780 0.568  0.31
Cl8 0.804 0.034 0.815  0.30
Cl9 0.211 0.336 0.115  0.32
Cl10 0.338 0.836 0.615  0.32
Cl11 0.341 0.052 0.882  0.31
Cl12 0.240 0.220 0.432  0.31
Cl13 0.662 0.164 0.385  0.32
Cl14 0.653 0.466 0.685  0.30
Cl15 0.108 0.720 0.932  0.31
Cl16 0.725 0.552 0.382  0.31
Co1 0.159 0.160 0.064  2.74
Co2 0.618 0.660 0.564  2.74
Co3 0.382 0.340 0.436  2.74
Co4 0.841 0.840 0.936  2.74
Rb1 0.033 0.250 0.750  0.01
Rb2 0.967 0.750 0.250  0.01

Computed properties:
final energy: -76.19 eV per cell
space group: C2/c (15)
crystal system: monoclinic
ΔE_f (raw): -0.7402 eV/atom
total magnetization: 9.0 μB per formula unit

***

(19)
An optimized crystal structure of RbCoCl2, computed with GGA-PBE.

Cell: 5.147 5.147 5.147 Å, 60.00 60.00 60.00°
Site moments in Bohr magnetons follow the coordinates.
Atoms (fractional coordinates):
Cl1 0.750 0.750 0.750  0.03
Cl2 0.250 0.250 0.250  0.03
Rb1 0.500 0.500 0.500  0.00
Co1 0.000 0.000 0.000  2.01

Computed properties:
final energy: -13.04 eV per cell
space group: Fm-3m (225)
crystal system: cubic
E above lowest polymorph: 542 meV/atom
ΔE_f (raw): -0.3192 eV/atom
total magnetization: 2.1 μB per formula unit

***

(20)
An optimized crystal structure of RbCoCl4, computed with GGA-PBE.

Cell: 8.393 8.392 8.392 Å, 75.35 75.35 119.62°
Site moments in Bohr magnetons follow the coordinates.
Atoms (fractional coordinates):
Co1 0.375 0.125 0.250  2.68
Co2 0.625 0.875 0.750  2.68
Cl1 0.300 0.722 0.921  0.22
Cl2 0.643 0.722 0.579  0.22
Cl3 0.222 0.143 0.079  0.22
Cl4 0.778 0.857 0.921  0.22
Cl5 0.700 0.278 0.079  0.22
Cl6 0.357 0.278 0.421  0.22
Cl7 0.778 0.200 0.579  0.22
Cl8 0.222 0.800 0.421  0.22
Rb1 0.875 0.625 0.250  0.01
Rb2 0.125 0.375 0.750  0.01

Computed properties:
final energy: -43.30 eV per cell
space group: I4_1/amd (141)
crystal system: tetragonal
E above lowest polymorph: 0 meV/atom
ΔE_f (raw): -1.0315 eV/atom
total magnetization: 4.0 μB per formula unit